This record from the Alexandria database describes a relaxed TlSi2Tc crystal. The functional is PBE-GGA.

- total magnetization (μB/f.u.) = 0.000
- excess energy over the best structure of this formula in the dataset (meV per atom) = 24.0
- raw formation energy (meV per atom) = 52
- density of states at the Fermi level (states/eV per atom) = 0.68

Cell and atoms, written as CIF:
```
data_TlSi2Tc
_chemical_formula_sum 'Tl1 Si2 Tc1'
_cell_length_a 3.092
_cell_length_b 3.092
_cell_length_c 7.805
_cell_angle_alpha 90.00
_cell_angle_beta 90.00
_cell_angle_gamma 90.00
_symmetry_space_group_name_H-M 'P 1'
_symmetry_Int_Tables_number 1
_symmetry_space_group_name_Hall 'P 1'
loop_
_atom_site_label
_atom_site_type_symbol
_atom_site_fract_x
_atom_site_fract_y
_atom_site_fract_z
Tl1 Tl 0.000 0.000 0.000
Si1 Si 0.500 0.500 0.331
Si2 Si 0.500 0.500 0.669
Tc1 Tc 0.000 0.000 0.500
```

=====

This record from the Alexandria database describes a relaxed Li3Ga2Au3 crystal. The functional is PBE-GGA.

- total magnetization (μB/f.u.) = 0.000
- E (eV per cell) = -50.452
- density of states at the Fermi level (states/eV per atom) = 0.34

Cell and atoms, written as CIF:
```
data_Li3Ga2Au3
_chemical_formula_sum 'Li6 Ga4 Au6'
_cell_length_a 5.165
_cell_length_b 5.165
_cell_length_c 13.493
_cell_angle_alpha 90.00
_cell_angle_beta 90.00
_cell_angle_gamma 129.63
_symmetry_space_group_name_H-M 'P 1'
_symmetry_Int_Tables_number 1
_symmetry_space_group_name_Hall 'P 1'
loop_
_atom_site_label
_atom_site_type_symbol
_atom_site_fract_x
_atom_site_fract_y
_atom_site_fract_z
Li1 Li 0.068 0.932 0.596
Li2 Li 0.068 0.932 0.904
Li3 Li 0.281 0.719 0.750
Li4 Li 0.719 0.281 0.250
Li5 Li 0.932 0.068 0.096
Li6 Li 0.932 0.068 0.404
Ga1 Ga 0.247 0.753 0.104
Ga2 Ga 0.247 0.753 0.396
Ga3 Ga 0.753 0.247 0.604
Ga4 Ga 0.753 0.247 0.896
Au1 Au 0.389 0.611 0.570
Au2 Au 0.389 0.611 0.930
Au3 Au 0.425 0.575 0.250
Au4 Au 0.575 0.425 0.750
Au5 Au 0.611 0.389 0.070
Au6 Au 0.611 0.389 0.430
```

=====

This record from the Alexandria database describes a relaxed NaErInBi crystal. The functional is PBE-GGA.

- total magnetization (μB/f.u.) = 0.000
- E (eV per cell) = -54.352
- density of states at the Fermi level (states/eV per atom) = 0.89

Cell and atoms, written as CIF:
```
data_NaErInBi
_chemical_formula_sum 'Na4 Er4 In4 Bi4'
_cell_length_a 7.657
_cell_length_b 7.657
_cell_length_c 7.657
_cell_angle_alpha 90.00
_cell_angle_beta 90.00
_cell_angle_gamma 90.00
_symmetry_space_group_name_H-M 'P 1'
_symmetry_Int_Tables_number 1
_symmetry_space_group_name_Hall 'P 1'
loop_
_atom_site_label
_atom_site_type_symbol
_atom_site_fract_x
_atom_site_fract_y
_atom_site_fract_z
Na1 Na 0.000 0.000 0.000
Na2 Na 0.000 0.500 0.500
Na3 Na 0.500 0.000 0.500
Na4 Na 0.500 0.500 0.000
Er1 Er 0.000 0.000 0.500
Er2 Er 0.000 0.500 0.000
Er3 Er 0.500 0.000 0.000
Er4 Er 0.500 0.500 0.500
In1 In 0.250 0.250 0.750
In2 In 0.250 0.750 0.250
In3 In 0.750 0.250 0.250
In4 In 0.750 0.750 0.750
Bi1 Bi 0.250 0.250 0.250
Bi2 Bi 0.250 0.750 0.750
Bi3 Bi 0.750 0.250 0.750
Bi4 Bi 0.750 0.750 0.250
```

=====

This record from the Alexandria database describes a relaxed Ru2WSe crystal. The functional is PBE-GGA.

- total magnetization (μB/f.u.) = 0.000
- raw formation energy (meV per atom) = 625
- density of states at the Fermi level (states/eV per atom) = 0.49

Cell and atoms, written as CIF:
```
data_Ru2WSe
_chemical_formula_sum 'Ru8 W4 Se4'
_cell_length_a 5.612
_cell_length_b 5.612
_cell_length_c 10.891
_cell_angle_alpha 90.00
_cell_angle_beta 90.00
_cell_angle_gamma 90.00
_symmetry_space_group_name_H-M 'P 1'
_symmetry_Int_Tables_number 1
_symmetry_space_group_name_Hall 'P 1'
loop_
_atom_site_label
_atom_site_type_symbol
_atom_site_fract_x
_atom_site_fract_y
_atom_site_fract_z
Ru1 Ru 0.246 0.250 0.125
Ru2 Ru 0.250 0.746 0.375
Ru3 Ru 0.250 0.754 0.875
Ru4 Ru 0.254 0.250 0.625
Ru5 Ru 0.746 0.750 0.625
Ru6 Ru 0.750 0.246 0.875
Ru7 Ru 0.750 0.254 0.375
Ru8 Ru 0.754 0.750 0.125
W1 W 0.000 0.000 0.500
W2 W 0.000 0.500 0.750
W3 W 0.500 0.000 0.250
W4 W 0.500 0.500 0.000
Se1 Se 0.000 0.000 0.000
Se2 Se 0.000 0.500 0.250
Se3 Se 0.500 0.000 0.750
Se4 Se 0.500 0.500 0.500
```

=====

This record from the Alexandria database describes a relaxed CsNaPbO2 crystal. The functional is PBE-GGA.

- total magnetization (μB/f.u.) = 0.000
- raw formation energy (meV per atom) = -1181
- density of states at the Fermi level (states/eV per atom) = 0.00

Cell and atoms, written as CIF:
```
data_CsNaPbO2
_chemical_formula_sum 'Cs2 Na2 Pb2 O4'
_cell_length_a 6.545
_cell_length_b 6.545
_cell_length_c 9.162
_cell_angle_alpha 103.43
_cell_angle_beta 103.43
_cell_angle_gamma 37.29
_symmetry_space_group_name_H-M 'P 1'
_symmetry_Int_Tables_number 1
_symmetry_space_group_name_Hall 'P 1'
loop_
_atom_site_label
_atom_site_type_symbol
_atom_site_fract_x
_atom_site_fract_y
_atom_site_fract_z
Cs1 Cs 0.159 0.159 0.115
Cs2 Cs 0.841 0.841 0.885
Na1 Na 0.196 0.196 0.562
Na2 Na 0.804 0.804 0.438
Pb1 Pb 0.454 0.454 0.300
Pb2 Pb 0.546 0.546 0.700
O1 O 0.151 0.151 0.791
O2 O 0.374 0.374 0.493
O3 O 0.626 0.626 0.507
O4 O 0.849 0.849 0.209
```

=====

This record from the Alexandria database describes a relaxed Ca2ScSi3Pt4 crystal. The functional is PBE-GGA.

- total magnetization (μB/f.u.) = 0.000
- raw formation energy (meV per atom) = -1009
- density of states at the Fermi level (states/eV per atom) = 0.59

Cell and atoms, written as CIF:
```
data_Ca2ScSi3Pt4
_chemical_formula_sum 'Ca2 Sc1 Si3 Pt4'
_cell_length_a 4.169
_cell_length_b 4.169
_cell_length_c 10.710
_cell_angle_alpha 90.00
_cell_angle_beta 90.00
_cell_angle_gamma 90.00
_symmetry_space_group_name_H-M 'P 1'
_symmetry_Int_Tables_number 1
_symmetry_space_group_name_Hall 'P 1'
loop_
_atom_site_label
_atom_site_type_symbol
_atom_site_fract_x
_atom_site_fract_y
_atom_site_fract_z
Ca1 Ca 0.000 0.500 0.238
Ca2 Ca 0.500 0.000 0.762
Sc1 Sc 0.000 0.000 0.500
Si1 Si 0.000 0.500 0.874
Si2 Si 0.500 0.000 0.126
Si3 Si 0.500 0.500 0.500
Pt1 Pt 0.000 0.000 0.000
Pt2 Pt 0.000 0.500 0.652
Pt3 Pt 0.500 0.000 0.348
Pt4 Pt 0.500 0.500 0.000
```

=====

This record from the Alexandria database describes a relaxed Rb2MgInI5 crystal. The functional is PBE-GGA.

- total magnetization (μB/f.u.) = 0.000
- raw formation energy (meV per atom) = -1063
- density of states at the Fermi level (states/eV per atom) = 0.00

Cell and atoms, written as CIF:
```
data_Rb2MgInI5
_chemical_formula_sum 'Rb4 Mg2 In2 I10'
_cell_length_a 10.715
_cell_length_b 10.715
_cell_length_c 17.134
_cell_angle_alpha 90.00
_cell_angle_beta 90.00
_cell_angle_gamma 154.97
_symmetry_space_group_name_H-M 'P 1'
_symmetry_Int_Tables_number 1
_symmetry_space_group_name_Hall 'P 1'
loop_
_atom_site_label
_atom_site_type_symbol
_atom_site_fract_x
_atom_site_fract_y
_atom_site_fract_z
Rb1 Rb 0.076 0.924 0.500
Rb2 Rb 0.143 0.857 0.155
Rb3 Rb 0.857 0.143 0.655
Rb4 Rb 0.924 0.076 0.000
Mg1 Mg 0.232 0.768 0.893
Mg2 Mg 0.768 0.232 0.393
In1 In 0.451 0.549 0.309
In2 In 0.549 0.451 0.809
I1 I 0.099 0.901 0.936
I2 I 0.249 0.751 0.510
I3 I 0.295 0.705 0.278
I4 I 0.364 0.636 0.845
I5 I 0.494 0.506 0.625
I6 I 0.506 0.494 0.125
I7 I 0.636 0.364 0.345
I8 I 0.705 0.295 0.778
I9 I 0.751 0.249 0.010
I10 I 0.901 0.099 0.436
```

=====

This record from the Alexandria database describes a relaxed Ba3ReHg crystal. The functional is PBE-GGA.

- total magnetization (μB/f.u.) = 0.000
- excess energy over the best structure of this formula in the dataset (meV per atom) = 0.0
- density of states at the Fermi level (states/eV per atom) = 0.82

Cell and atoms, written as CIF:
```
data_Ba3ReHg
_chemical_formula_sum 'Ba3 Re1 Hg1'
_cell_length_a 5.972
_cell_length_b 5.972
_cell_length_c 5.972
_cell_angle_alpha 90.00
_cell_angle_beta 90.00
_cell_angle_gamma 90.00
_symmetry_space_group_name_H-M 'P 1'
_symmetry_Int_Tables_number 1
_symmetry_space_group_name_Hall 'P 1'
loop_
_atom_site_label
_atom_site_type_symbol
_atom_site_fract_x
_atom_site_fract_y
_atom_site_fract_z
Ba1 Ba 0.000 0.000 0.500
Ba2 Ba 0.000 0.500 0.000
Ba3 Ba 0.500 0.000 0.000
Re1 Re 0.000 0.000 0.000
Hg1 Hg 0.500 0.500 0.500
```

=====

This record from the Alexandria database describes a relaxed BaFeCl5 crystal. The functional is PBE-GGA.

- total magnetization (μB/f.u.) = 2.984
- raw formation energy (meV per atom) = -1389
- density of states at the Fermi level (states/eV per atom) = 0.61

Cell and atoms, written as CIF:
```
data_BaFeCl5
_chemical_formula_sum 'Ba2 Fe2 Cl10'
_cell_length_a 5.966
_cell_length_b 9.784
_cell_length_c 9.931
_cell_angle_alpha 81.33
_cell_angle_beta 87.84
_cell_angle_gamma 88.51
_symmetry_space_group_name_H-M 'P 1'
_symmetry_Int_Tables_number 1
_symmetry_space_group_name_Hall 'P 1'
loop_
_atom_site_label
_atom_site_type_symbol
_atom_site_fract_x
_atom_site_fract_y
_atom_site_fract_z
Ba1 Ba 0.247 0.350 0.150
Ba2 Ba 0.753 0.650 0.850
Fe1 Fe 0.000 0.500 0.500
Fe2 Fe 0.500 0.000 0.000
Cl1 Cl 0.077 0.288 0.459
Cl2 Cl 0.240 0.586 0.338
Cl3 Cl 0.251 0.593 0.910
Cl4 Cl 0.261 0.162 0.915
Cl5 Cl 0.409 0.036 0.209
Cl6 Cl 0.591 0.964 0.791
Cl7 Cl 0.739 0.838 0.085
Cl8 Cl 0.749 0.407 0.090
Cl9 Cl 0.760 0.414 0.662
Cl10 Cl 0.923 0.712 0.541
```

=====

This record from the Alexandria database describes a relaxed BeAs2OsSe crystal. The functional is PBE-GGA.

- total magnetization (μB/f.u.) = 0.000
- excess energy over the best structure of this formula in the dataset (meV per atom) = 0.0
- raw formation energy (meV per atom) = 1005
- density of states at the Fermi level (states/eV per atom) = 0.65

Cell and atoms, written as CIF:
```
data_BeAs2OsSe
_chemical_formula_sum 'Be1 As2 Os1 Se1'
_cell_length_a 4.622
_cell_length_b 4.622
_cell_length_c 5.551
_cell_angle_alpha 90.00
_cell_angle_beta 90.00
_cell_angle_gamma 90.00
_symmetry_space_group_name_H-M 'P 1'
_symmetry_Int_Tables_number 1
_symmetry_space_group_name_Hall 'P 1'
loop_
_atom_site_label
_atom_site_type_symbol
_atom_site_fract_x
_atom_site_fract_y
_atom_site_fract_z
Be1 Be 0.000 0.000 0.000
As1 As 0.000 0.500 0.500
As2 As 0.500 0.000 0.500
Os1 Os 0.500 0.500 0.500
Se1 Se 0.500 0.500 0.000
```

=====

This record from the Alexandria database describes a relaxed CaZn2FeW crystal. The functional is PBE-GGA.

- total magnetization (μB/f.u.) = 0.002
- E (eV per cell) = -15.233
- density of states at the Fermi level (states/eV per atom) = 1.27

Cell and atoms, written as CIF:
```
data_CaZn2FeW
_chemical_formula_sum 'Ca1 Zn2 Fe1 W1'
_cell_length_a 4.724
_cell_length_b 4.724
_cell_length_c 4.088
_cell_angle_alpha 90.00
_cell_angle_beta 90.00
_cell_angle_gamma 90.00
_symmetry_space_group_name_H-M 'P 1'
_symmetry_Int_Tables_number 1
_symmetry_space_group_name_Hall 'P 1'
loop_
_atom_site_label
_atom_site_type_symbol
_atom_site_fract_x
_atom_site_fract_y
_atom_site_fract_z
Ca1 Ca 0.000 0.000 0.000
Zn1 Zn 0.000 0.500 0.000
Zn2 Zn 0.500 0.000 0.000
Fe1 Fe 0.000 0.000 0.500
W1 W 0.500 0.500 0.500
```

=====

This record from the Alexandria database describes a relaxed SbPt2Cl crystal. The functional is PBE-GGA.

- total magnetization (μB/f.u.) = 0.000
- excess energy over the best structure of this formula in the dataset (meV per atom) = 330.9
- raw formation energy (meV per atom) = 158
- density of states at the Fermi level (states/eV per atom) = 0.44

Cell and atoms, written as CIF:
```
data_SbPt2Cl
_chemical_formula_sum 'Sb2 Pt4 Cl2'
_cell_length_a 4.086
_cell_length_b 5.238
_cell_length_c 7.249
_cell_angle_alpha 90.00
_cell_angle_beta 90.00
_cell_angle_gamma 90.00
_symmetry_space_group_name_H-M 'P 1'
_symmetry_Int_Tables_number 1
_symmetry_space_group_name_Hall 'P 1'
loop_
_atom_site_label
_atom_site_type_symbol
_atom_site_fract_x
_atom_site_fract_y
_atom_site_fract_z
Sb1 Sb 0.000 0.000 0.000
Sb2 Sb 0.500 0.500 0.000
Pt1 Pt 0.000 0.500 0.233
Pt2 Pt 0.000 0.500 0.767
Pt3 Pt 0.500 0.000 0.233
Pt4 Pt 0.500 0.000 0.767
Cl1 Cl 0.000 0.000 0.500
Cl2 Cl 0.500 0.500 0.500
```